BeBTe2: optimized geometry, GGA-PBE.

a b c (Å): 4.6984 4.6984 4.6984
angles (deg): 60.00 60.00 60.00
Last column: nearest neighbours and their distance in Å.
Sites, in units of the cell vectors:
Be 0.0000 0.0000 0.0000  8 Te 2.88
B 0.5000 0.5000 0.5000  8 Te 2.88
Te 0.2500 0.2500 0.2500  4 B 2.88, 4 Be 2.88
Te 0.7500 0.7500 0.7500  4 Be 2.88, 4 B 2.88

Computed properties:
**Calculated density**: 6.227 g/cm³
**VASP energy**: -2.956 eV/atom
**Space-group type**: Fm-3m (225)
**Formation energy from raw total energies**: 1.22 eV/atom

---

TmZrZnCu: optimized geometry, GGA-PBE.

a b c (Å): 4.7953 4.7953 4.7953
angles (deg): 60.00 60.00 60.00
Last column: nearest neighbours and their distance in Å.
Sites, in units of the cell vectors:
Zn 0.7500 0.7500 0.7500  4 Zr 2.94, 4 Tm 2.94
Tm 0.5000 0.5000 0.5000  4 Zn 2.94, 4 Cu 2.94
Cu 0.2500 0.2500 0.2500  4 Tm 2.94, 4 Zr 2.94
Zr 0.0000 0.0000 0.0000  4 Cu 2.94, 4 Zn 2.94

Computed properties:
**Calculated density**: 8.287 g/cm³
**VASP energy**: -4.786 eV/atom
**Space-group type**: F-43m (216)
**Formation energy**: -0.189 eV per atom

---

SmThPd4: optimized geometry, GGA-PBE.

a b c (Å): 4.2295 5.8492 10.3628
angles (deg): 90.00 101.78 90.00
Last column: nearest neighbours and their distance in Å.
Sites, in units of the cell vectors:
Sm 0.7239 0.2500 0.4478  7 Pd 2.99-3.10
Sm 0.2761 0.7500 0.5522  7 Pd 2.99-3.10
Th 0.4210 0.2500 0.8420  11 Pd 2.93-3.05
Th 0.5790 0.7500 0.1580  11 Pd 2.93-3.05
Pd 0.0000 0.0000 0.0000  8 Pd 2.92-2.95, 4 Th 3.03
Pd 0.0000 0.5000 0.0000  8 Pd 2.92-2.95, 4 Th 3.03
Pd 0.1455 0.0112 0.2911  5 Pd 2.79-3.06, 2 Th 2.94, 3 Sm 2.99-3.06
Pd 0.8545 0.5112 0.7089  5 Pd 2.79-3.06, 2 Th 2.94, 3 Sm 2.99-3.06
Pd 0.1455 0.4888 0.2911  5 Pd 2.79-3.06, 2 Th 2.94, 3 Sm 2.99-3.06
Pd 0.8545 0.9888 0.7089  5 Pd 2.79-3.06, 2 Th 2.94, 3 Sm 2.99-3.06
Pd 0.5712 0.2500 0.1424  3 Th 2.93-3.05, 8 Pd 2.95, 1 Sm 3.10
Pd 0.4288 0.7500 0.8576  3 Th 2.93-3.05, 8 Pd 2.95, 1 Sm 3.10

Computed properties:
**Calculated density**: 10.693 g/cm³
**VASP energy**: -6.356 eV/atom
**Space-group type**: Cmcm (63)
**Formation energy**: -0.871 eV per atom

---

Ag3Bi4S8: optimized geometry, GGA-PBE.

a b c (Å): 8.0157 7.8787 7.8787
angles (deg): 91.02 119.30 119.30
Last column: nearest neighbours and their distance in Å.
Sites, in units of the cell vectors:
Ag 0.5000 0.5000 0.0000  6 S 2.76-2.87
Ag 0.5000 0.0000 0.5000  6 S 2.76-2.87
Ag 0.5000 0.5000 0.5000  6 S 2.69-2.89
Bi 0.5000 0.0000 0.0000  6 S 2.83-2.85
Bi 0.0000 0.5000 0.0000  6 S 2.76-2.87
Bi 0.0000 0.0000 0.0000  6 S 2.81-2.84
Bi 0.0000 0.0000 0.5000  6 S 2.76-2.87
S 0.4916 0.2522 0.2522  3 Ag 2.69-2.81, 2 Bi 2.82-2.83
S 0.0000 0.7499 0.2501  3 Bi 2.76-2.81, 2 Ag 2.87
S 0.9972 0.2554 0.2554  4 Bi 2.81-2.85, 1 Ag 2.89
S 0.5000 0.7469 0.2531  3 Ag 2.76-2.78, 3 Bi 2.84-2.87
S 0.5000 0.2531 0.7469  3 Ag 2.76-2.78, 3 Bi 2.84-2.87
S 0.0028 0.7446 0.7446  4 Bi 2.81-2.85, 1 Ag 2.89
S 0.0000 0.2501 0.7499  3 Bi 2.76-2.81, 2 Ag 2.87
S 0.5084 0.7478 0.7478  3 Ag 2.69-2.81, 2 Bi 2.82-2.83

Computed properties:
**Calculated density**: 6.604 g/cm³
**VASP energy**: -3.983 eV/atom
**Space-group type**: C2/m (12)
**Formation energy from raw total energies**: -0.18 eV/atom